Entry 1:
The following is a GGA-PBE calculation of Ca2InIr after structural relaxation, from the Alexandria database.

Cell and atoms, written as CIF:
```
data_Ca2InIr
_chemical_formula_sum 'Ca4 In2 Ir2'
_cell_length_a 4.434
_cell_length_b 4.335
_cell_length_c 11.076
_cell_angle_alpha 90.00
_cell_angle_beta 90.00
_cell_angle_gamma 90.00
_symmetry_space_group_name_H-M 'A m m 2'
_symmetry_Int_Tables_number 38
_symmetry_space_group_name_Hall 'A 2 -2'
loop_
_atom_site_label
_atom_site_fract_x
_atom_site_fract_y
_atom_site_fract_z
Ca1 0.000 0.000 0.000
Ca2 0.500 0.000 0.287
In1 0.500 0.000 0.581
Ir1 0.000 0.000 0.714
```

Calculated values
Crystal system   orthorhombic
ΔH_f (0 K)   -0.3053 eV/atom

Entry 2:
The following is a GGA-PBE calculation of RbNaFe3 after structural relaxation, from the Alexandria database.

Cell and atoms, written as CIF:
```
data_RbNaFe3
_chemical_formula_sum 'Rb1 Na1 Fe3'
_cell_length_a 5.083
_cell_length_b 5.083
_cell_length_c 5.083
_cell_angle_alpha 90.00
_cell_angle_beta 90.00
_cell_angle_gamma 90.00
_symmetry_space_group_name_H-M 'P m -3 m'
_symmetry_Int_Tables_number 221
_symmetry_space_group_name_Hall '-P 4 2 3'
loop_
_atom_site_label
_atom_site_fract_x
_atom_site_fract_y
_atom_site_fract_z
Rb1 0.000 0.000 0.000
Na1 0.500 0.500 0.500
Fe1 0.000 0.500 0.500
```

Calculated values
Excess energy over the best structure of this formula in the dataset   0 meV per atom
Crystal system   cubic
ΔH_f (0 K)   1.8613 eV/atom

Entry 3:
The following is a GGA-PBE calculation of Ba2TlZnS5 after structural relaxation, from the Alexandria database.

Cell and atoms, written as CIF:
```
data_Ba2TlZnS5
_chemical_formula_sum 'Ba8 Tl4 Zn4 S20'
_cell_length_a 4.213
_cell_length_b 18.798
_cell_length_c 12.220
_cell_angle_alpha 90.00
_cell_angle_beta 90.00
_cell_angle_gamma 90.00
_symmetry_space_group_name_H-M 'C m c 21'
_symmetry_Int_Tables_number 36
_symmetry_space_group_name_Hall 'C 2c -2'
loop_
_atom_site_label
_atom_site_fract_x
_atom_site_fract_y
_atom_site_fract_z
Ba1 0.000 0.113 0.000
Ba2 0.000 0.122 0.612
Tl1 0.000 0.224 0.328
Zn1 0.000 0.426 0.739
S1 0.000 0.079 0.335
S2 0.000 0.281 0.979
S3 0.000 0.301 0.673
S4 0.000 0.360 0.308
S5 0.000 0.498 0.588
```

Calculated values
Raw total energy   -4.14 eV per atom
Crystal system   orthorhombic

Entry 4:
The following is a GGA-PBE calculation of BeZn2Sn after structural relaxation, from the Alexandria database.

Cell and atoms, written as CIF:
```
data_BeZn2Sn
_chemical_formula_sum 'Be4 Zn8 Sn4'
_cell_length_a 6.547
_cell_length_b 6.547
_cell_length_c 6.547
_cell_angle_alpha 90.00
_cell_angle_beta 90.00
_cell_angle_gamma 90.00
_symmetry_space_group_name_H-M 'F m -3 m'
_symmetry_Int_Tables_number 225
_symmetry_space_group_name_Hall '-F 4 2 3'
loop_
_atom_site_label
_atom_site_fract_x
_atom_site_fract_y
_atom_site_fract_z
Be1 0.000 0.000 0.000
Zn1 0.250 0.250 0.250
Sn1 0.000 0.000 0.500
```

Calculated values
Excess energy over the best structure of this formula in the dataset   189 meV per atom
Crystal system   cubic
ΔH_f (0 K)   0.4752 eV/atom

Entry 5:
The following is a GGA-PBE calculation of Cs2ScRhBr6 after structural relaxation, from the Alexandria database.

Cell and atoms, written as CIF:
```
data_Cs2ScRhBr6
_chemical_formula_sum 'Cs8 Sc4 Rh4 Br24'
_cell_length_a 10.900
_cell_length_b 10.900
_cell_length_c 10.900
_cell_angle_alpha 90.00
_cell_angle_beta 90.00
_cell_angle_gamma 90.00
_symmetry_space_group_name_H-M 'F m -3 m'
_symmetry_Int_Tables_number 225
_symmetry_space_group_name_Hall '-F 4 2 3'
loop_
_atom_site_label
_atom_site_fract_x
_atom_site_fract_y
_atom_site_fract_z
Cs1 0.250 0.250 0.250
Sc1 0.000 0.000 0.000
Rh1 0.000 0.000 0.500
Br1 0.000 0.000 0.246
```

Calculated values
Raw total energy   -3.85 eV per atom
Crystal system   cubic

Entry 6:
The following is a GGA-PBE calculation of Sr2CdMo4 after structural relaxation, from the Alexandria database.

Cell and atoms, written as CIF:
```
data_Sr2CdMo4
_chemical_formula_sum 'Sr4 Cd2 Mo8'
_cell_length_a 5.134
_cell_length_b 5.134
_cell_length_c 16.412
_cell_angle_alpha 90.00
_cell_angle_beta 90.00
_cell_angle_gamma 90.00
_symmetry_space_group_name_H-M 'I 4/m m m'
_symmetry_Int_Tables_number 139
_symmetry_space_group_name_Hall '-I 4 2'
loop_
_atom_site_label
_atom_site_fract_x
_atom_site_fract_y
_atom_site_fract_z
Sr1 0.000 0.000 0.135
Cd1 0.000 0.000 0.500
Mo1 0.000 0.000 0.339
Mo2 0.000 0.500 0.000
```

Calculated values
Crystal system   tetragonal
ΔH_f (0 K)   2.0507 eV/atom

Entry 7:
The following is a GGA-PBE calculation of TbHo8Th6 after structural relaxation, from the Alexandria database.

Cell and atoms, written as CIF:
```
data_TbHo8Th6
_chemical_formula_sum 'Tb3 Ho24 Th18'
_cell_length_a 8.8318
_cell_length_b 8.8318
_cell_length_c 21.2518
_cell_angle_alpha 90.00
_cell_angle_beta 90.00
_cell_angle_gamma 120.00
_symmetry_space_group_name_H-M 'R -3'
_symmetry_Int_Tables_number 148
_symmetry_space_group_name_Hall '-R 3'
loop_
_atom_site_label
_atom_site_fract_x
_atom_site_fract_y
_atom_site_fract_z
Tb1 0.0000 0.0000 0.0000
Ho1 0.0000 0.0000 0.4202
Ho2 0.0626 0.2540 0.1338
Th1 0.0261 0.7821 0.7090
```

Calculated values
Crystal system   trigonal
ΔH_f (0 K)   0.1549 eV/atom

Entry 8:
The following is a GGA-PBE calculation of Al2FeMo after structural relaxation, from the Alexandria database.

Cell and atoms, written as CIF:
```
data_Al2FeMo
_chemical_formula_sum 'Al6 Fe3 Mo3'
_cell_length_a 2.7956
_cell_length_b 2.7956
_cell_length_c 25.5387
_cell_angle_alpha 90.00
_cell_angle_beta 90.00
_cell_angle_gamma 120.00
_symmetry_space_group_name_H-M 'R 3 m'
_symmetry_Int_Tables_number 160
_symmetry_space_group_name_Hall 'R 3 -2"'
loop_
_atom_site_label
_atom_site_fract_x
_atom_site_fract_y
_atom_site_fract_z
Al1 0.0000 0.0000 0.0000
Al2 0.0000 0.0000 0.2420
Fe1 0.0000 0.0000 0.7433
Mo1 0.0000 0.0000 0.4867
```

Calculated values
Excess energy over the best structure of this formula in the dataset   208 meV per atom
Crystal system   trigonal
ΔH_f (0 K)   -0.0189 eV/atom